1.
A relaxed structure of Ti3Ni3N. Source: the Alexandria database, functional PBE.

- electronic total energy (eV per atom) = -7.869
- V (A^3/atom) = 11.97
- raw formation energy (meV per atom) = -819
- density of states at the Fermi level (states/eV per atom) = 0.5822

a b c (Å): 7.7979 7.7979 7.7979
angles (deg): 60.00 60.00 60.00
Last column: nearest neighbours and their distance in Å.
Fractional coordinates of all 28 atoms:
Ti: 0.4430 0.4430 0.0570  2 N 2.09
N: 0.6250 0.1250 0.1250  6 Ti 2.09
Ni: 0.4161 0.4161 0.4161  6 Ni 2.39-2.62, 3 Ti 2.61
N: 0.1250 0.6250 0.1250  6 Ti 2.09
Ni: 0.8339 0.8339 0.8339  6 Ni 2.39-2.62, 3 Ti 2.61
Ti: 0.4430 0.0570 0.4430  2 N 2.09
Ni: 0.4161 0.7517 0.4161  6 Ni 2.39-2.62, 3 Ti 2.61
Ni: 0.6250 0.1250 0.6250  6 Ni 2.39
Ni: 0.6250 0.6250 0.1250  6 Ni 2.39
Ni: 0.4983 0.8339 0.8339  6 Ni 2.39-2.62, 3 Ti 2.61
Ni: 0.6250 0.6250 0.6250  6 Ni 2.39
Ni: 0.4161 0.4161 0.7517  6 Ni 2.39-2.62, 3 Ti 2.61
Ti: 0.8070 0.8070 0.1930  2 N 2.09
Ti: 0.8070 0.1930 0.8070  2 N 2.09
Ni: 0.8339 0.8339 0.4983  6 Ni 2.39-2.62, 3 Ti 2.61
Ti: 0.1930 0.1930 0.8070  2 N 2.09
Ti: 0.4430 0.0570 0.0570  2 N 2.09
N: 0.1250 0.1250 0.1250  6 Ti 2.09
Ni: 0.8339 0.4983 0.8339  6 Ni 2.39-2.62, 3 Ti 2.61
Ti: 0.8070 0.1930 0.1930  2 N 2.09
N: 0.1250 0.1250 0.6250  6 Ti 2.09
Ti: 0.0570 0.4430 0.0570  2 N 2.09
Ni: 0.1250 0.6250 0.6250  6 Ni 2.39
Ti: 0.1930 0.8070 0.8070  2 N 2.09
Ti: 0.0570 0.4430 0.4430  2 N 2.09
Ni: 0.7517 0.4161 0.4161  6 Ni 2.39-2.62, 3 Ti 2.61
Ti: 0.1930 0.8070 0.1930  2 N 2.09
Ti: 0.0570 0.0570 0.4430  2 N 2.09


2.
A relaxed structure of VNiIrRu2. Source: the Alexandria database, functional PBE.

- electronic total energy (eV per atom) = -7.006
- formation energy (eV per atom) = 1.46
- V (A^3/atom) = 16.66
- density of states at the Fermi level (states/eV per atom) = 2.0619

a b c (Å): 4.3247 4.4542 4.3247
angles (deg): 90.00 90.00 90.00
Last column: nearest neighbours and their distance in Å.
Fractional coordinates of all 5 atoms:
Ir: 0.0000 0.5000 0.0000  2 Ni 2.23
Ni: 0.0000 0.0000 0.0000  4 Ru 2.16, 2 Ir 2.23
V: 0.5000 0.5000 0.5000  4 Ir 3.06, 8 Ru 3.10
Ru: 0.0000 0.0000 0.5000  2 Ni 2.16
Ru: 0.5000 0.0000 0.0000  2 Ni 2.16